The following is a PBE-GGA calculation of crystalline KPm2I6 at its relaxed geometry, from Alexandria via LeMat-Bulk.

Cell: 8.292 7.833 7.833 Å, 120.00 90.00 90.00°
Site moments in Bohr magnetons follow the coordinates.
Atoms (fractional coordinates):
I 0.274 0.000 0.645  0.00
K 0.000 0.000 0.000  0.00
Pm 0.500 0.333 0.667  0.26
I 0.274 0.355 0.355  0.00
I 0.726 0.355 0.000  0.00
Pm 0.500 0.667 0.333  0.26
I 0.274 0.645 0.000  0.00
I 0.726 0.645 0.645  0.00
I 0.726 0.000 0.355  0.00

Calculated values
E_form (uncorrected): -1349.2 meV/atom
magnetic moment: 1.0 μB/cell
energy: -3.56 eV per atom

=====

The following is a PBE-GGA calculation of crystalline KPmI4 at its relaxed geometry, from Alexandria via LeMat-Bulk.

Cell: 7.753 8.870 10.350 Å, 111.98 108.21 98.34°
Atoms (fractional coordinates):
I 0.722 0.040 0.404
I 0.520 0.262 0.086
Pm 0.829 0.079 0.159
K 0.409 0.659 0.317
I 0.819 0.636 0.596
K 0.591 0.341 0.683
I 0.278 0.960 0.596
I 0.934 0.176 0.914
I 0.181 0.364 0.404
Pm 0.171 0.921 0.841
I 0.066 0.824 0.086
I 0.480 0.738 0.914

Calculated values
E_form (uncorrected): -1414.1 meV/atom
offset from the most stable computed form: 7 meV per atom
magnetic moment: 0.0 μB/cell
energy: -3.42 eV per atom

=====

The following is a PBE-GGA calculation of crystalline K3PmI6 at its relaxed geometry, from Alexandria via LeMat-Bulk.

Cell: 8.456 9.126 12.259 Å, 90.00 88.76 90.00°
Atoms (fractional coordinates):
K 0.962 0.409 0.743
I 0.202 0.323 0.437
I 0.664 0.212 0.578
K 0.538 0.909 0.757
I 0.702 0.177 0.937
I 0.357 0.555 0.733
Pm 0.500 0.500 0.500
K 0.038 0.591 0.257
Pm 0.000 0.000 0.000
I 0.643 0.445 0.267
K 0.000 0.000 0.500
I 0.857 0.945 0.233
K 0.462 0.091 0.243
I 0.336 0.788 0.422
I 0.836 0.712 0.922
K 0.500 0.500 0.000
I 0.298 0.823 0.063
I 0.798 0.677 0.563
I 0.143 0.055 0.767
I 0.164 0.288 0.078

Calculated values
E_form (uncorrected): -1460.1 meV/atom
magnetic moment: 0.0 μB/cell
energy: -3.19 eV per atom

=====

The following is a PBE-GGA calculation of crystalline KPmI2 at its relaxed geometry, from Alexandria via LeMat-Bulk.

Cell: 4.181 4.181 11.797 Å, 79.79 79.79 60.00°
Atoms (fractional coordinates):
Pm 0.500 0.500 0.500
K 0.000 0.000 0.000
I 0.106 0.106 0.682
I 0.894 0.894 0.318

Calculated values
E_form (uncorrected): -955.5 meV/atom
magnetic moment: 0.0 μB/cell
energy: -3.19 eV per atom

=====

The following is a PBE-GGA calculation of crystalline KPmI4 at its relaxed geometry, from Alexandria via LeMat-Bulk.

Cell: 4.650 9.282 8.858 Å, 120.38 90.00 104.51°
Atoms (fractional coordinates):
I 0.383 0.766 0.012
I 0.617 0.234 0.988
Pm 0.000 0.000 0.000
K 0.500 0.000 0.500
I 0.885 0.771 0.596
I 0.115 0.229 0.404

Calculated values
E_form (uncorrected): -1420.7 meV/atom
offset from the most stable computed form: 0 meV per atom
magnetic moment: 0.0 μB/cell
energy: -3.43 eV per atom

=====

The following is a PBE-GGA calculation of crystalline KPm4I8 at its relaxed geometry, from Alexandria via LeMat-Bulk.

Cell: 8.227 8.227 10.711 Å, 90.00 112.59 120.00°
Atoms (fractional coordinates):
I 0.017 0.760 0.777
I 0.480 0.240 0.223
I 0.017 0.257 0.777
I 0.519 0.260 0.779
I 0.520 0.760 0.777
Pm 0.000 0.000 0.000
I 0.983 0.743 0.223
Pm 0.500 0.500 0.000
K 0.000 0.500 0.500
Pm 0.500 0.000 0.000
Pm 0.000 0.500 0.000
I 0.481 0.740 0.221
I 0.983 0.240 0.223

Calculated values
E_form (uncorrected): -1239.0 meV/atom
magnetic moment: 0.0 μB/cell
energy: -3.74 eV per atom

=====

The following is a PBE-GGA calculation of crystalline K2PmI5 at its relaxed geometry, from Alexandria via LeMat-Bulk.

Cell: 8.996 8.991 9.176 Å, 119.36 119.46 90.02°
Atoms (fractional coordinates):
I 0.283 0.283 0.096
I 0.816 0.815 0.100
K 0.163 0.661 0.322
Pm 0.990 0.991 0.981
K 0.661 0.162 0.322
I 0.766 0.767 0.536
I 0.283 0.814 0.097
I 0.815 0.284 0.098

Calculated values
E_form (uncorrected): -1367.5 meV/atom
offset from the most stable computed form: 87 meV per atom
magnetic moment: 0.0 μB/cell
energy: -3.20 eV per atom

=====

The following is a PBE-GGA calculation of crystalline KPmPuI6 at its relaxed geometry, from Alexandria via LeMat-Bulk.

Cell: 8.038 8.038 15.832 Å, 90.00 90.00 120.00°
Site moments in Bohr magnetons follow the coordinates.
Atoms (fractional coordinates):
K 0.000 0.000 0.000  0.00
I 0.641 0.007 0.866  -0.01
I 0.359 0.365 0.366  -0.01
Pm 0.667 0.333 0.750  0.12
I 0.635 0.993 0.366  -0.01
I 0.007 0.365 0.134  -0.01
I 0.635 0.641 0.134  -0.01
I 0.993 0.635 0.866  -0.01
I 0.359 0.993 0.134  -0.01
Pm 0.333 0.667 0.250  0.12
I 0.641 0.635 0.634  -0.01
K 0.000 0.000 0.500  0.00
Pu 0.667 0.333 0.250  5.67
I 0.993 0.359 0.634  -0.01
I 0.007 0.641 0.366  -0.01
Pu 0.333 0.667 0.750  5.67
I 0.365 0.359 0.866  -0.01
I 0.365 0.007 0.634  -0.01

Calculated values
E_form (uncorrected): -1302.3 meV/atom
magnetic moment: 12.0 μB/cell
energy: -4.58 eV per atom

=====

The following is a PBE-GGA calculation of crystalline K2RbPmI6 at its relaxed geometry, from Alexandria via LeMat-Bulk.

Cell: 8.808 8.810 9.264 Å, 61.62 61.62 60.00°
Atoms (fractional coordinates):
I 0.129 0.409 0.774
I 0.565 0.222 0.242
I 0.971 0.565 0.242
K 0.525 0.525 0.426
I 0.222 0.971 0.243
Rb 0.815 0.815 0.555
I 0.409 0.688 0.774
Pm 0.325 0.325 0.025
K 0.014 0.013 0.960
I 0.688 0.129 0.774

Calculated values
E_form (uncorrected): -1458.9 meV/atom
magnetic moment: 0.0 μB/cell
energy: -3.18 eV per atom

=====

The following is a PBE-GGA calculation of crystalline KPmScI6 at its relaxed geometry, from Alexandria via LeMat-Bulk.

Cell: 7.734 7.734 16.138 Å, 90.00 90.00 120.00°
Site moments in Bohr magnetons follow the coordinates.
Atoms (fractional coordinates):
I 0.985 0.632 0.360  0.00
K 0.000 0.000 0.500  0.00
I 0.985 0.353 0.140  0.00
Pm 0.667 0.333 0.750  0.15
I 0.353 0.368 0.860  0.00
I 0.015 0.647 0.860  0.00
Pm 0.333 0.667 0.250  0.15
Sc 0.667 0.333 0.250  0.56
I 0.647 0.015 0.360  0.00
Sc 0.333 0.667 0.750  0.56
I 0.647 0.632 0.140  0.00
I 0.632 0.985 0.860  0.00
I 0.353 0.985 0.640  0.00
I 0.632 0.647 0.640  0.00
I 0.368 0.015 0.140  0.00
I 0.015 0.368 0.640  0.00
K 0.000 0.000 0.000  0.00
I 0.368 0.353 0.360  0.00

Calculated values
E_form (uncorrected): -1294.9 meV/atom
magnetic moment: 2.1 μB/cell
energy: -3.68 eV per atom

=====

The following is a PBE-GGA calculation of crystalline KPmSeI at its relaxed geometry, from Alexandria via LeMat-Bulk.

Cell: 4.305 4.305 8.784 Å, 90.01 104.18 120.00°
Atoms (fractional coordinates):
I 0.948 0.372 0.336
Pm 0.113 0.954 0.082
Se 0.321 0.558 0.895
K 0.496 0.146 0.657

Calculated values
E_form (uncorrected): -1386.9 meV/atom
magnetic moment: 0.0 μB/cell
energy: -4.11 eV per atom

=====

The following is a PBE-GGA calculation of crystalline KPmSn2I8 at its relaxed geometry, from Alexandria via LeMat-Bulk.

Cell: 7.830 7.361 9.629 Å, 89.95 89.98 88.98°
Atoms (fractional coordinates):
I 0.842 0.253 0.773
Sn 0.500 0.500 0.252
I 0.366 0.270 0.500
I 0.329 0.241 0.000
I 0.158 0.748 0.773
I 0.671 0.759 0.000
I 0.634 0.730 0.500
I 0.842 0.252 0.227
Pm 0.000 0.000 0.000
Sn 0.500 0.500 0.748
K 0.000 0.000 0.500
I 0.158 0.747 0.227

Calculated values
E_form (uncorrected): -930.6 meV/atom
magnetic moment: 0.0 μB/cell
energy: -3.12 eV per atom